# 1
Compound: Cs2SiPdS4
Source: Alexandria
Functional: GGA-PBE
Structure: relaxed

Unit cell a=13.527 b=11.744 c=8.122 alpha=83.71 beta=59.65 gamma=36.64
Atoms (fractional coordinates):
Cs (0.042, 0.042, 0.708)
Cs (0.292, 0.292, 0.958)
Cs (0.708, 0.708, 0.042)
Cs (0.958, 0.958, 0.292)
Si (0.375, 0.375, 0.375)
Si (0.625, 0.625, 0.625)
Pd (0.125, 0.125, 0.125)
Pd (0.875, 0.875, 0.875)
S (0.022, 0.660, 0.541)
S (0.277, 0.541, 0.660)
S (0.340, 0.978, 0.723)
S (0.459, 0.723, 0.978)
S (0.541, 0.277, 0.022)
S (0.660, 0.022, 0.277)
S (0.723, 0.459, 0.340)
S (0.978, 0.340, 0.459)

Computed properties:
Formation energy from raw total energies: -6.56 eV per formula unit

=====

# 2
Compound: SrBeCr2
Source: Alexandria
Functional: GGA-PBE
Structure: relaxed

Unit cell a=4.357 b=4.357 c=4.250 alpha=90.00 beta=90.00 gamma=90.00
Atoms (fractional coordinates):
Sr (0.000, 0.000, 0.000)
Be (0.500, 0.500, 0.000)
Cr (0.000, 0.500, 0.500)
Cr (0.500, 0.000, 0.500)

Computed properties:
Final energy: -5.054 eV per atom

=====

# 3
Compound: Pr2NdY
Source: Alexandria
Functional: GGA-PBE
Structure: relaxed

Unit cell a=3.577 b=3.577 c=38.310 alpha=90.00 beta=90.00 gamma=120.00
Atoms (fractional coordinates):
Pr (0.000, 0.000, 0.090)
Pr (0.000, 0.000, 0.910)
Pr (0.333, 0.667, 0.577)
Pr (0.333, 0.667, 0.756)
Pr (0.667, 0.333, 0.244)
Pr (0.667, 0.333, 0.423)
Nd (0.000, 0.000, 0.000)
Nd (0.333, 0.667, 0.667)
Nd (0.667, 0.333, 0.333)
Y (0.000, 0.000, 0.500)
Y (0.333, 0.667, 0.167)
Y (0.667, 0.333, 0.833)

Computed properties:
Energy above the most stable polymorph in this dataset: 0.1390 eV per atom

=====

# 4
Compound: Zr6Tl3Sn
Source: Alexandria
Functional: GGA-PBE
Structure: relaxed

Unit cell a=7.928 b=7.682 c=10.717 alpha=90.00 beta=131.91 gamma=90.00
Atoms (fractional coordinates):
Zr (0.063, 0.168, 0.324)
Zr (0.063, 0.332, 0.824)
Zr (0.262, 0.201, 0.693)
Zr (0.262, 0.299, 0.193)
Zr (0.408, 0.627, 0.860)
Zr (0.408, 0.873, 0.360)
Zr (0.592, 0.127, 0.640)
Zr (0.592, 0.373, 0.140)
Zr (0.738, 0.701, 0.807)
Zr (0.738, 0.799, 0.307)
Zr (0.937, 0.668, 0.176)
Zr (0.937, 0.832, 0.676)
Tl (0.252, 0.656, 0.057)
Tl (0.252, 0.844, 0.557)
Tl (0.500, 0.000, 0.000)
Tl (0.500, 0.500, 0.500)
Tl (0.748, 0.156, 0.443)
Tl (0.748, 0.344, 0.943)
Sn (0.000, 0.000, 0.000)
Sn (0.000, 0.500, 0.500)

Computed properties:
Final energy: -6.193 eV per atom

=====

# 5
Compound: NaSr3P6
Source: Alexandria
Functional: GGA-PBE
Structure: relaxed

Unit cell a=7.902 b=7.902 c=7.902 alpha=99.39 beta=99.39 gamma=99.39
Atoms (fractional coordinates):
Na (0.000, 0.000, 0.000)
Na (0.500, 0.500, 0.500)
Sr (0.189, 0.750, 0.311)
Sr (0.250, 0.689, 0.811)
Sr (0.311, 0.189, 0.750)
Sr (0.689, 0.811, 0.250)
Sr (0.750, 0.311, 0.189)
Sr (0.811, 0.250, 0.689)
P (0.015, 0.092, 0.407)
P (0.092, 0.407, 0.015)
P (0.093, 0.408, 0.485)
P (0.407, 0.015, 0.092)
P (0.408, 0.485, 0.093)
P (0.485, 0.093, 0.408)
P (0.515, 0.907, 0.592)
P (0.592, 0.515, 0.907)
P (0.593, 0.985, 0.908)
P (0.907, 0.592, 0.515)
P (0.908, 0.593, 0.985)
P (0.985, 0.908, 0.593)

Computed properties:
Final energy: -4.525 eV per atom

=====

# 6
Compound: YCuSbTe2
Source: Alexandria
Functional: GGA-PBE
Structure: relaxed

Unit cell a=5.796 b=5.796 c=5.844 alpha=90.00 beta=90.00 gamma=90.00
Atoms (fractional coordinates):
Y (0.000, 0.000, 0.000)
Cu (0.500, 0.500, 0.500)
Sb (0.000, 0.000, 0.500)
Te (0.000, 0.500, 0.000)
Te (0.500, 0.000, 0.000)

Computed properties:
Energy above the most stable polymorph in this dataset: 0.5282 eV per atom
Formation energy from raw total energies: 2.13 eV per formula unit

=====

# 7
Compound: MnBiS2Cl
Source: Alexandria
Functional: GGA-PBE
Structure: relaxed

Unit cell a=5.320 b=5.320 c=5.217 alpha=90.00 beta=90.00 gamma=90.00
Atoms (fractional coordinates):
Mn (0.000, 0.000, 0.000)
Bi (0.500, 0.500, 0.500)
S (0.000, 0.500, 0.500)
S (0.500, 0.000, 0.500)
Cl (0.500, 0.500, 0.000)

Computed properties:
Energy above the most stable polymorph in this dataset: 0.9744 eV per atom
Formation energy from raw total energies: 1.78 eV per formula unit

=====

# 8
Compound: GaAuSe3
Source: Alexandria
Functional: GGA-PBE
Structure: relaxed

Unit cell a=4.961 b=4.961 c=4.961 alpha=90.00 beta=90.00 gamma=90.00
Atoms (fractional coordinates):
Ga (0.000, 0.000, 0.000)
Au (0.500, 0.500, 0.500)
Se (0.000, 0.000, 0.500)
Se (0.000, 0.500, 0.000)
Se (0.500, 0.000, 0.000)

Computed properties:
Energy above the most stable polymorph in this dataset: 0.1459 eV per atom
Formation energy from raw total energies: 2.85 eV per formula unit

=====

Number 1: size of the total moment 0.00 μB/f.u.. Number 2: size of the total moment 7.72 μB/f.u.. Number 3: size of the total moment 0.00 μB/f.u.. Number 4: size of the total moment 0.00 μB/f.u.. Number 5: size of the total moment 0.00 μB/f.u.. Number 6: size of the total moment 0.01 μB/f.u.. Number 7: size of the total moment 5.28 μB/f.u.. Number 8: size of the total moment 0.00 μB/f.u..